1.
The following is a GGA+U calculation of a relaxed structure of KLaFe4O12, from Alexandria via LeMat-Bulk.

The value obtained for the density of states at the Fermi level is 0.4731 states/eV/atom. The calculation puts the size of the total moment at 19.68 μB/f.u. Its total energy is -5.978 eV per atom.

The structure belongs to space group P4/mmm (No. 123); the cell edges are 5.4387, 5.4387 and 7.7199 Å and the angles 90.00°, 90.00° and 90.00°. The inequivalent atoms are K at (0.0000, 0.0000, 0.0000), La at (0.5000, 0.5000, 0.5000), Fe at (0.0000, 0.5000, 0.2453), O at (0.0000, 0.5000, 0.0000), O at (0.0000, 0.5000, 0.5000) and O at (0.2587, 0.2587, 0.2615).

=====

2.
The following is a GGA+U calculation of a relaxed structure of K2LaFeO4, from Alexandria via LeMat-Bulk.

The value obtained for the density of states at the Fermi level is 0.0000 states/eV/atom. The calculation puts the size of the total moment at 5.09 μB/f.u. Its total energy is -5.996 eV per atom.

The structure belongs to space group Imma (No. 74); the cell edges are 6.8295, 7.3702 and 9.8992 Å and the angles 90.00°, 90.00° and 90.00°. The inequivalent atoms are K at (0.0000, 0.0000, 0.0000), K at (0.2500, 0.2500, 0.2500), La at (0.0000, 0.0000, 0.5000), Fe at (0.2500, 0.2500, 0.7500), O at (0.0000, 0.0560, 0.7413) and O at (0.2247, 0.2500, 0.5355).

=====

3.
The following is a GGA+U calculation of a relaxed structure of KLaFeO3, from Alexandria via LeMat-Bulk.

The value obtained for the density of states at the Fermi level is 0.0000 states/eV/atom. The calculation puts the size of the total moment at 2.00 μB/f.u. Its total energy is -6.433 eV per atom.

The structure belongs to space group P2_1/m (No. 11); the cell edges are 7.5080, 3.8079 and 8.9500 Å and the angles 90.00°, 105.06° and 90.00°. The inequivalent atoms are K at (0.1707, 0.2500, 0.1632), La at (0.3366, 0.7500, 0.8489), Fe at (0.0388, 0.2500, 0.6228), O at (0.0650, 0.7500, 0.6013), O at (0.1274, 0.2500, 0.8466) and O at (0.4469, 0.7500, 0.1184).